1.
ScSb5 | GGA-PBE | optimized geometry

Cell and atoms, written as extended XYZ:
```
6
Lattice="5.708 -1.937 0.000 5.708 1.937 0.000 -3.565 0.000 7.421" Properties=species:S:1:pos:R:3 pbc="T T T"
Sc 0.000 0.000 0.000
Sb -1.797 0.000 4.741
Sb 1.420 0.000 5.179
Sb 4.139 0.000 1.800
Sb 6.962 0.000 2.227
Sb 4.825 0.000 6.913
```

Summary:
total moment: 0.0 μB/f.u.
E above lowest polymorph: 0.0000 eV per atom
raw total energy: -0.33952 Ry per atom


2.
ScSb7 | GGA-PBE | optimized geometry

Cell and atoms, written as extended XYZ:
```
8
Lattice="0.000 4.730 4.730 4.730 0.000 4.730 4.730 4.730 0.000" Properties=species:S:1:pos:R:3 pbc="T T T"
Sc 0.000 0.000 0.000
Sb 2.365 2.365 0.000
Sb 2.365 0.000 2.365
Sb 4.730 2.365 2.365
Sb 0.000 2.365 2.365
Sb 2.365 4.730 2.365
Sb 2.365 2.365 4.730
Sb 4.730 4.730 4.730
```

Summary:
total moment: 0.0 μB/f.u.
raw total energy: -0.31852 Ry per atom


3.
ScSb | GGA-PBE | optimized geometry

Cell and atoms, written as extended XYZ:
```
4
Lattice="3.233 0.000 0.000 0.000 3.233 0.000 0.000 0.000 10.001" Properties=species:S:1:pos:R:3 pbc="T T T"
Sc 0.808 0.808 1.223
Sc 2.425 2.425 8.778
Sb 0.808 0.808 6.646
Sb 2.425 2.425 3.355
```

Summary:
total moment: 0.0 μB/f.u.
raw total energy: -0.40758 Ry per atom


4.
ScSb | GGA-PBE | optimized geometry

Cell and atoms, written as extended XYZ:
```
4
Lattice="-2.114 2.114 5.206 2.114 -2.114 5.206 2.114 2.114 -5.206" Properties=species:S:1:pos:R:3 pbc="T T T"
Sc 2.114 1.057 1.302
Sc 0.000 1.057 3.905
Sb 2.114 -1.057 3.905
Sb 0.000 3.172 1.302
```

Summary:
total moment: 0.0 μB/f.u.
raw total energy: -0.43622 Ry per atom


5.
Sc5Sb3 | GGA-PBE | optimized geometry

Cell and atoms, written as extended XYZ:
```
16
Lattice="-5.589 5.589 2.938 5.589 -5.589 2.938 5.589 5.589 -2.938" Properties=species:S:1:pos:R:3 pbc="T T T"
Sc 8.694 0.878 0.000
Sc 0.878 2.484 0.000
Sc 5.589 0.000 1.469
Sc 6.467 3.105 0.000
Sc 3.105 4.711 0.000
Sc 2.484 0.878 2.938
Sc -0.878 2.484 2.938
Sc 0.000 5.589 1.469
Sc 4.711 3.105 2.938
Sc -3.105 4.711 2.938
Sb 3.765 1.824 0.000
Sb 0.000 0.000 1.469
Sb 3.765 -1.824 2.938
Sb 1.824 7.414 0.000
Sb 0.000 0.000 4.407
Sb 1.824 3.765 2.938
```

Summary:
total moment: 0.7 μB/f.u.
E above lowest polymorph: 0.0853 eV per atom
raw total energy: -0.46142 Ry per atom


6.
ScSb | GGA-PBE | optimized geometry

Cell and atoms, written as extended XYZ:
```
6
Lattice="6.076 -1.718 0.000 6.076 1.718 0.000 -2.061 0.000 7.077" Properties=species:S:1:pos:R:3 pbc="T T T"
Sc 0.000 0.000 0.000
Sc -0.557 0.000 4.095
Sc 6.877 0.000 6.833
Sb 2.622 0.000 5.052
Sb 4.168 0.000 1.891
Sb 7.210 0.000 2.218
```

Summary:
total moment: 0.0 μB/f.u.
raw total energy: -0.41872 Ry per atom


7.
ScSb | GGA-PBE | optimized geometry

Cell and atoms, written as extended XYZ:
```
12
Lattice="11.450 0.000 0.000 -5.725 9.916 0.000 0.000 0.000 3.310" Properties=species:S:1:pos:R:3 pbc="T T T"
Sc -1.194 5.004 0.827
Sc -0.795 8.448 0.827
Sc 1.988 6.381 0.827
Sc 3.737 3.536 2.482
Sc 6.520 1.468 2.482
Sc 6.919 4.912 2.482
Sb -3.334 7.034 0.827
Sb 1.301 3.512 0.827
Sb 3.692 0.630 2.482
Sb 2.033 9.286 0.827
Sb 4.424 6.404 2.482
Sb 9.059 2.882 2.482
```

Summary:
total moment: 0.0 μB/f.u.
raw total energy: -0.40767 Ry per atom


8.
Sc4Sb | GGA-PBE | optimized geometry

Cell and atoms, written as extended XYZ:
```
10
Lattice="-1.705 3.125 11.246 1.705 -3.125 11.246 1.705 3.125 -11.246" Properties=species:S:1:pos:R:3 pbc="T T T"
Sc 0.000 0.000 0.000
Sc 1.705 1.563 -2.243
Sc 0.000 0.019 4.287
Sc 1.705 0.019 6.959
Sc 0.000 3.125 0.000
Sc 0.000 3.106 4.287
Sc 1.705 3.106 6.959
Sc 0.000 1.563 13.489
Sb 1.705 1.563 2.168
Sb 0.000 1.563 9.078
```

Summary:
total moment: 0.4 μB/f.u.
E above lowest polymorph: 0.0000 eV per atom
raw total energy: -0.44773 Ry per atom